Version one
The following is a PBE-GGA calculation of crystalline Be3CoN at its relaxed geometry, from Alexandria via LeMat-Bulk.

Cell: 3.8503 3.8503 3.8503 Å, 90.00 90.00 90.00°
Last column: nearest neighbours and their distance in Å.
Fractional positions:
Be (0.0000, 0.5000, 0.0000)  2 Co 1.93
N (0.5000, 0.5000, 0.5000)  12 Be 2.72
Co (0.0000, 0.0000, 0.0000)  6 Be 1.93
Be (0.5000, 0.0000, 0.0000)  2 Co 1.93
Be (0.0000, 0.0000, 0.5000)  2 Co 1.93

## Properties
Symmetry: No. 221
ρ in g cm⁻³: 2.9

Version two
The following is a PBE-GGA calculation of crystalline Be3CoN at its relaxed geometry, from Alexandria via LeMat-Bulk.

Cell: 3.4490 3.4490 3.4490 Å, 90.00 90.00 90.00°
Last column: nearest neighbours and their distance in Å.
Fractional positions:
Be (0.5000, 0.0000, 0.0000)  2 N 1.72
Be (0.0000, 0.5000, 0.0000)  2 N 1.72
Co (0.5000, 0.5000, 0.5000)  12 Be 2.44
N (0.0000, 0.0000, 0.0000)  6 Be 1.72
Be (0.0000, 0.0000, 0.5000)  2 N 1.72

## Properties
Symmetry: No. 221
ρ in g cm⁻³: 4.0

Which is the most stable structure? version two is the most stable.

Version one
The following is a PBE-GGA calculation of crystalline BeCoTeN2 at its relaxed geometry, from Alexandria via LeMat-Bulk.

Cell: 3.5826 3.5826 5.6108 Å, 90.00 90.00 90.00°
Last column: nearest neighbours and their distance in Å.
Fractional positions:
Be (0.5000, 0.5000, 0.5000)  4 Te 2.53
N (0.5000, 0.0000, 0.0000)  2 Co 1.79
Co (0.0000, 0.0000, 0.0000)  4 N 1.79
N (0.0000, 0.5000, 0.0000)  2 Co 1.79
Te (0.0000, 0.0000, 0.5000)  4 Be 2.53, 2 Co 2.81

## Properties
Symmetry: No. 123
ρ in g cm⁻³: 5.2

Version two
The following is a PBE-GGA calculation of crystalline BeCoTeN2 at its relaxed geometry, from Alexandria via LeMat-Bulk.

Cell: 3.4758 3.4758 5.7940 Å, 90.00 90.00 90.00°
Last column: nearest neighbours and their distance in Å.
Fractional positions:
Be (0.0000, 0.0000, 0.0000)  4 N 1.74
Co (0.5000, 0.5000, 0.5000)  4 Te 2.46
N (0.0000, 0.5000, 0.0000)  2 Be 1.74
N (0.5000, 0.0000, 0.0000)  2 Be 1.74
Te (0.0000, 0.0000, 0.5000)  4 Co 2.46

## Properties
Symmetry: No. 123
ρ in g cm⁻³: 5.3

Which is the most stable structure? version one is the most stable.

Version one
The following is a PBE-GGA calculation of crystalline NaBeCo3 at its relaxed geometry, from Alexandria via LeMat-Bulk.

Cell: 4.2807 4.2807 4.2807 Å, 90.00 90.00 90.00°
Last column: nearest neighbours and their distance in Å.
Fractional positions:
Be (0.5000, 0.5000, 0.5000)  12 Co 3.03
Na (0.0000, 0.0000, 0.0000)  6 Co 2.14
Co (0.0000, 0.0000, 0.5000)  2 Na 2.14
Co (0.0000, 0.5000, 0.0000)  2 Na 2.14
Co (0.5000, 0.0000, 0.0000)  2 Na 2.14

## Properties
Symmetry: No. 221
ρ in g cm⁻³: 4.4

Version two
The following is a PBE-GGA calculation of crystalline NaBeCo3 at its relaxed geometry, from Alexandria via LeMat-Bulk.

Cell: 4.0395 4.0395 4.0395 Å, 90.00 90.00 90.00°
Last column: nearest neighbours and their distance in Å.
Fractional positions:
Be (0.0000, 0.0000, 0.0000)  6 Co 2.02
Co (0.0000, 0.5000, 0.0000)  2 Be 2.02
Co (0.5000, 0.0000, 0.0000)  2 Be 2.02
Na (0.5000, 0.5000, 0.5000)  12 Co 2.86
Co (0.0000, 0.0000, 0.5000)  2 Be 2.02

## Properties
Symmetry: No. 221
ρ in g cm⁻³: 5.3

Which is the most stable structure? version two is the most stable.

Version one
The following is a PBE-GGA calculation of crystalline NaBe3Co at its relaxed geometry, from Alexandria via LeMat-Bulk.

Cell: 4.0937 4.0937 4.0937 Å, 90.00 90.00 90.00°
Last column: nearest neighbours and their distance in Å.
Fractional positions:
Co (0.0000, 0.0000, 0.0000)  6 Be 2.05
Na (0.5000, 0.5000, 0.5000)  12 Be 2.89
Be (0.0000, 0.5000, 0.0000)  2 Co 2.05
Be (0.5000, 0.0000, 0.0000)  2 Co 2.05
Be (0.0000, 0.0000, 0.5000)  2 Co 2.05

## Properties
Symmetry: No. 221
ρ in g cm⁻³: 2.6

Version two
The following is a PBE-GGA calculation of crystalline NaBe3Co at its relaxed geometry, from Alexandria via LeMat-Bulk.

Cell: 4.0848 4.0848 4.0848 Å, 90.00 90.00 90.00°
Last column: nearest neighbours and their distance in Å.
Fractional positions:
Be (0.0000, 0.5000, 0.0000)  2 Na 2.04
Co (0.5000, 0.5000, 0.5000)  12 Be 2.89
Be (0.0000, 0.0000, 0.5000)  2 Na 2.04
Be (0.5000, 0.0000, 0.0000)  2 Na 2.04
Na (0.0000, 0.0000, 0.0000)  6 Be 2.04

## Properties
Symmetry: No. 221
ρ in g cm⁻³: 2.7

Which is the most stable structure? version one is the most stable.